The following is a PBE-GGA calculation of Dy3Cd4Ag2 after structural relaxation, from the Alexandria database.

The value obtained for the formation energy is -0.298 eV/atom. The energy comes out at -2.873 eV per atom. The size of the total moment comes out at 0.0000 μB/atom.

Cell and atoms, written as POSCAR:
```
Dy3Cd4Ag2
1.0
-1.165 -3.176 3.610
5.314 -1.003 -2.557
-0.716 6.959 5.890
Cd Dy Ag
4 3 2
Direct
0.945 0.890 0.613 Cd
0.055 0.110 0.387 Cd
0.717 0.434 0.053 Cd
0.283 0.566 0.947 Cd
0.000 0.000 0.000 Dy
0.331 0.662 0.337 Dy
0.669 0.338 0.663 Dy
0.608 0.216 0.276 Ag
0.392 0.784 0.724 Ag
```



The following is a PBE-GGA calculation of Dy3Cd2Ag after structural relaxation, from the Alexandria database.

The value obtained for the formation energy is -0.317 eV/atom. The energy comes out at -3.398 eV per atom. The size of the total moment comes out at 0.0000 μB/atom.

Cell and atoms, written as POSCAR:
```
Dy3Cd2Ag
1.0
3.701 0.000 0.000
0.000 3.701 0.000
0.000 0.000 11.146
Dy Cd Ag
3 2 1
Direct
0.000 0.000 0.000 Dy
0.000 0.000 0.340 Dy
0.000 0.000 0.660 Dy
0.500 0.500 0.833 Cd
0.500 0.500 0.167 Cd
0.500 0.500 0.500 Ag
```



The following is a PBE-GGA calculation of EuDyCdAg after structural relaxation, from the Alexandria database.

The value obtained for the formation energy is -0.278 eV/atom. The energy comes out at -4.938 eV per atom. The size of the total moment comes out at 1.8028 μB/atom.

Cell and atoms, written as POSCAR:
```
EuDyCdAg
1.0
5.332 0.000 0.000
2.666 4.617 0.000
2.666 1.539 4.353
Ag Cd Dy Eu
1 1 1 1
Direct
0.250 0.250 0.250 Ag
0.750 0.750 0.750 Cd
0.500 0.500 0.500 Dy
0.000 0.000 0.000 Eu
```



The following is a PBE-GGA calculation of Dy4CdGaAg2 after structural relaxation, from the Alexandria database.

The value obtained for the formation energy is -0.383 eV/atom. The energy comes out at -3.889 eV per atom. The size of the total moment comes out at 0.0000 μB/atom.

Cell and atoms, written as POSCAR:
```
Dy4CdGaAg2
1.0
5.163 0.000 0.000
2.581 4.471 0.000
2.581 1.490 8.443
Dy Ga Ag Cd
4 1 2 1
Direct
0.379 0.379 0.864 Dy
0.621 0.621 0.136 Dy
0.872 0.872 0.385 Dy
0.128 0.128 0.615 Dy
0.500 0.500 0.500 Ga
0.746 0.746 0.763 Ag
0.254 0.254 0.237 Ag
0.000 0.000 0.000 Cd
```



The following is a PBE-GGA calculation of Dy4CdAgHg2 after structural relaxation, from the Alexandria database.

The value obtained for the formation energy is -0.406 eV/atom. The energy comes out at -3.253 eV per atom. The size of the total moment comes out at 0.0000 μB/atom.

Cell and atoms, written as POSCAR:
```
Dy4CdAgHg2
1.0
5.236 0.000 0.000
2.618 4.534 0.000
2.618 1.511 8.549
Dy Ag Cd Hg
4 1 1 2
Direct
0.873 0.873 0.382 Dy
0.127 0.127 0.618 Dy
0.622 0.622 0.133 Dy
0.378 0.378 0.867 Dy
0.500 0.500 0.500 Ag
0.000 0.000 0.000 Cd
0.747 0.747 0.759 Hg
0.253 0.253 0.241 Hg
```



The following is a PBE-GGA calculation of Dy2CdAgHg4 after structural relaxation, from the Alexandria database.

The value obtained for the formation energy is -0.354 eV/atom. The energy comes out at -2.127 eV per atom. The size of the total moment comes out at 0.0000 μB/atom.

Cell and atoms, written as POSCAR:
```
Dy2CdAgHg4
1.0
-4.660 -1.803 0.648
-2.343 -2.348 -3.793
0.810 -8.603 1.479
Hg Dy Cd Ag
4 2 1 1
Direct
0.377 0.377 0.870 Hg
0.127 0.127 0.620 Hg
0.873 0.873 0.380 Hg
0.623 0.623 0.130 Hg
0.250 0.250 0.250 Dy
0.750 0.750 0.750 Dy
0.000 0.000 0.000 Cd
0.500 0.500 0.500 Ag
```



The following is a PBE-GGA calculation of Dy4CdInAg2 after structural relaxation, from the Alexandria database.

The value obtained for the formation energy is -0.348 eV/atom. The energy comes out at -3.819 eV per atom. The size of the total moment comes out at 0.0000 μB/atom.

Cell and atoms, written as POSCAR:
```
Dy4CdInAg2
1.0
5.234 0.000 0.000
2.617 4.533 0.000
2.617 1.511 8.558
Ag Cd Dy In
2 1 4 1
Direct
0.751 0.751 0.747 Ag
0.249 0.249 0.253 Ag
0.500 0.500 0.500 Cd
0.624 0.624 0.127 Dy
0.874 0.874 0.377 Dy
0.376 0.376 0.873 Dy
0.126 0.126 0.623 Dy
0.000 0.000 0.000 In
```



The following is a PBE-GGA calculation of Dy4Cd2InAg after structural relaxation, from the Alexandria database.

The value obtained for the formation energy is -0.353 eV/atom. The energy comes out at -3.581 eV per atom. The size of the total moment comes out at 0.0001 μB/atom.

Cell and atoms, written as POSCAR:
```
Dy4Cd2InAg
1.0
-2.733 -2.246 -3.894
-4.289 -2.841 1.096
-7.195 5.376 -1.604
Cd Dy Ag In
2 4 1 1
Direct
0.251 0.251 0.246 Cd
0.749 0.749 0.754 Cd
0.377 0.377 0.868 Dy
0.623 0.623 0.132 Dy
0.873 0.873 0.382 Dy
0.127 0.127 0.618 Dy
0.500 0.500 0.500 Ag
0.000 0.000 0.000 In
```



The following is a PBE-GGA calculation of Dy4CdAgIr2 after structural relaxation, from the Alexandria database.

The value obtained for the formation energy is -0.573 eV/atom. The energy comes out at -5.560 eV per atom. The size of the total moment comes out at 0.0000 μB/atom.

Cell and atoms, written as POSCAR:
```
Dy4CdAgIr2
1.0
5.011 0.000 0.000
2.505 4.340 0.000
2.505 1.447 8.149
Ir Dy Ag Cd
2 4 1 1
Direct
0.251 0.251 0.248 Ir
0.749 0.749 0.752 Ir
0.623 0.623 0.131 Dy
0.873 0.873 0.381 Dy
0.127 0.127 0.619 Dy
0.377 0.377 0.869 Dy
0.500 0.500 0.500 Ag
0.000 0.000 0.000 Cd
```



The following is a PBE-GGA calculation of Dy4CdAg2Ir after structural relaxation, from the Alexandria database.

The value obtained for the formation energy is -0.495 eV/atom. The energy comes out at -4.731 eV per atom. The size of the total moment comes out at 0.0000 μB/atom.

Cell and atoms, written as POSCAR:
```
Dy4CdAg2Ir
1.0
-0.395 2.497 -4.432
-4.038 -0.784 -3.019
-5.531 6.720 1.342
Ag Cd Dy Ir
2 1 4 1
Direct
0.260 0.260 0.221 Ag
0.740 0.740 0.779 Ag
0.000 0.000 0.000 Cd
0.385 0.385 0.844 Dy
0.615 0.615 0.156 Dy
0.132 0.132 0.603 Dy
0.868 0.868 0.397 Dy
0.500 0.500 0.500 Ir
```



The following is a PBE-GGA calculation of LaDyCdAg after structural relaxation, from the Alexandria database.

The calculation puts the excess energy over the best structure of this formula in the dataset at 0.0 meV per atom. The value obtained for the formation energy is -0.303 eV/atom. The energy comes out at -3.627 eV per atom. The size of the total moment comes out at 0.0626 μB/atom.

Cell and atoms, written as POSCAR:
```
LaDyCdAg
1.0
3.747 0.000 0.000
0.000 3.747 0.000
0.000 0.000 7.709
Dy Ag La Cd
1 1 1 1
Direct
0.500 0.500 0.595 Dy
0.000 0.000 0.385 Ag
0.500 0.500 0.112 La
0.000 0.000 0.835 Cd
```



The following is a PBE-GGA calculation of LaDyCdAg after structural relaxation, from the Alexandria database.

The calculation puts the excess energy over the best structure of this formula in the dataset at 21.8 meV per atom. The value obtained for the formation energy is -0.281 eV/atom. The energy comes out at -3.605 eV per atom. The size of the total moment comes out at 0.0001 μB/atom.

Cell and atoms, written as POSCAR:
```
LaDyCdAg
1.0
-5.229 0.434 1.109
-3.580 -2.850 -2.796
-2.594 -4.074 2.331
Ag Cd La Dy
1 1 1 1
Direct
0.250 0.250 0.250 Ag
0.750 0.750 0.750 Cd
0.500 0.500 0.500 La
0.000 0.000 0.000 Dy
```



The following is a PBE-GGA calculation of LiDyCdAg after structural relaxation, from the Alexandria database.

The value obtained for the formation energy is -0.218 eV/atom. The energy comes out at -2.789 eV per atom. The size of the total moment comes out at 0.0047 μB/atom.

Cell and atoms, written as POSCAR:
```
LiDyCdAg
1.0
-1.090 0.144 -4.776
-3.907 -2.424 -1.696
-3.940 2.474 -1.541
Ag Cd Li Dy
1 1 1 1
Direct
0.500 0.500 0.500 Ag
0.750 0.750 0.750 Cd
0.000 0.000 0.000 Li
0.250 0.250 0.250 Dy
```



The following is a PBE-GGA calculation of DyLuCdAg after structural relaxation, from the Alexandria database.

The value obtained for the formation energy is -0.306 eV/atom. The energy comes out at -3.528 eV per atom. The size of the total moment comes out at 0.0001 μB/atom.

Cell and atoms, written as POSCAR:
```
DyLuCdAg
1.0
5.169 0.000 0.000
2.584 4.476 0.000
2.584 1.492 4.220
Ag Cd Dy Lu
1 1 1 1
Direct
0.250 0.250 0.250 Ag
0.750 0.750 0.750 Cd
0.500 0.500 0.500 Dy
0.000 0.000 0.000 Lu
```



The following is a PBE-GGA calculation of DyMg2Cd2Ag2 after structural relaxation, from the Alexandria database.

The value obtained for the formation energy is -0.186 eV/atom. The energy comes out at -2.375 eV per atom. The size of the total moment comes out at 0.0000 μB/atom.

Cell and atoms, written as POSCAR:
```
DyMg2Cd2Ag2
1.0
-3.741 -3.109 0.412
0.821 -4.811 0.069
-0.344 -2.427 7.479
Ag Cd Dy Mg
2 2 1 2
Direct
0.267 0.267 0.198 Ag
0.733 0.733 0.802 Ag
0.415 0.415 0.754 Cd
0.585 0.585 0.246 Cd
0.000 0.000 0.000 Dy
0.859 0.859 0.424 Mg
0.141 0.141 0.576 Mg
```



The following is a PBE-GGA calculation of Dy4MgCd2Ag after structural relaxation, from the Alexandria database.

The value obtained for the formation energy is -0.264 eV/atom. The energy comes out at -3.350 eV per atom. The size of the total moment comes out at 0.0000 μB/atom.

Cell and atoms, written as POSCAR:
```
Dy4MgCd2Ag
1.0
-2.687 4.355 -1.248
-3.882 -0.228 -3.553
-7.822 -0.305 4.660
Ag Cd Mg Dy
1 2 1 4
Direct
0.500 0.500 0.500 Ag
0.744 0.744 0.769 Cd
0.256 0.256 0.231 Cd
0.000 0.000 0.000 Mg
0.872 0.872 0.384 Dy
0.379 0.379 0.862 Dy
0.621 0.621 0.138 Dy
0.128 0.128 0.616 Dy
```



The following is a PBE-GGA calculation of NdDyCdAg after structural relaxation, from the Alexandria database.

The calculation puts the excess energy over the best structure of this formula in the dataset at 0.0 meV per atom. The value obtained for the formation energy is -0.300 eV/atom. The energy comes out at -3.584 eV per atom. The size of the total moment comes out at 0.0594 μB/atom.

Cell and atoms, written as POSCAR:
```
NdDyCdAg
1.0
-0.344 3.611 0.860
-3.360 -0.670 1.470
3.204 -1.298 6.732
Nd Ag Dy Cd
1 1 1 1
Direct
0.500 0.500 0.112 Nd
0.000 0.000 0.376 Ag
0.500 0.500 0.597 Dy
0.000 0.000 0.843 Cd
```



The following is a PBE-GGA calculation of NdDyCdAg after structural relaxation, from the Alexandria database.

The calculation puts the excess energy over the best structure of this formula in the dataset at 14.2 meV per atom. The value obtained for the formation energy is -0.286 eV/atom. The energy comes out at -3.570 eV per atom. The size of the total moment comes out at 0.0000 μB/atom.

Cell and atoms, written as POSCAR:
```
NdDyCdAg
1.0
-1.133 -0.633 5.142
2.808 -3.411 2.933
3.346 1.810 3.695
Dy Cd Nd Ag
1 1 1 1
Direct
0.500 0.500 0.500 Dy
0.750 0.750 0.750 Cd
0.000 0.000 0.000 Nd
0.250 0.250 0.250 Ag
```



The following is a PBE-GGA calculation of Dy4CdAg2Os after structural relaxation, from the Alexandria database.

The value obtained for the formation energy is -0.324 eV/atom. The energy comes out at -4.856 eV per atom. The size of the total moment comes out at 0.0000 μB/atom.

Cell and atoms, written as POSCAR:
```
Dy4CdAg2Os
1.0
-2.888 -2.606 3.297
0.748 -5.003 0.643
4.735 -0.947 7.343
Cd Dy Ag Os
1 4 2 1
Direct
0.000 0.000 0.000 Cd
0.867 0.867 0.400 Dy
0.385 0.385 0.844 Dy
0.615 0.615 0.156 Dy
0.133 0.133 0.600 Dy
0.742 0.742 0.774 Ag
0.258 0.258 0.226 Ag
0.500 0.500 0.500 Os
```



The following is a PBE-GGA calculation of DyCdAgPb after structural relaxation, from the Alexandria database.

The value obtained for the formation energy is -0.208 eV/atom. The energy comes out at -3.227 eV per atom. The size of the total moment comes out at 0.0000 μB/atom.

Cell and atoms, written as POSCAR:
```
DyCdAgPb
1.0
-0.877 -3.915 3.234
3.934 -2.235 2.467
0.574 0.674 5.077
Dy Pb Ag Cd
1 1 1 1
Direct
0.250 0.250 0.250 Dy
0.500 0.500 0.500 Pb
0.000 0.000 0.000 Ag
0.750 0.750 0.750 Cd
```



The following is a PBE-GGA calculation of Dy4CdAg2Pd after structural relaxation, from the Alexandria database.

The value obtained for the formation energy is -0.466 eV/atom. The energy comes out at -4.243 eV per atom. The size of the total moment comes out at 0.0000 μB/atom.

Cell and atoms, written as POSCAR:
```
Dy4CdAg2Pd
1.0
-3.204 -3.668 -1.620
0.461 -1.898 -4.747
4.342 -7.703 0.727
Pd Dy Ag Cd
1 4 2 1
Direct
0.500 0.500 0.500 Pd
0.130 0.130 0.610 Dy
0.870 0.870 0.390 Dy
0.619 0.619 0.144 Dy
0.381 0.381 0.856 Dy
0.744 0.744 0.769 Ag
0.256 0.256 0.231 Ag
0.000 0.000 0.000 Cd
```



The following is a PBE-GGA calculation of Dy4CdAgPd2 after structural relaxation, from the Alexandria database.

The value obtained for the formation energy is -0.580 eV/atom. The energy comes out at -4.650 eV per atom. The size of the total moment comes out at 0.0000 μB/atom.

Cell and atoms, written as POSCAR:
```
Dy4CdAgPd2
1.0
5.081 0.000 0.000
2.541 4.401 0.000
2.541 1.467 8.299
Pd Dy Ag Cd
2 4 1 1
Direct
0.747 0.747 0.759 Pd
0.253 0.253 0.241 Pd
0.377 0.377 0.869 Dy
0.623 0.623 0.131 Dy
0.873 0.873 0.381 Dy
0.127 0.127 0.619 Dy
0.500 0.500 0.500 Ag
0.000 0.000 0.000 Cd
```



The following is a PBE-GGA calculation of Dy4CdAg2Pt after structural relaxation, from the Alexandria database.

The value obtained for the formation energy is -0.573 eV/atom. The energy comes out at -4.456 eV per atom. The size of the total moment comes out at 0.0000 μB/atom.

Cell and atoms, written as POSCAR:
```
Dy4CdAg2Pt
1.0
-0.616 -4.478 -2.400
0.760 -4.385 2.528
-8.005 -3.052 2.294
Dy Ag Pt Cd
4 2 1 1
Direct
0.869 0.869 0.393 Dy
0.383 0.383 0.851 Dy
0.131 0.131 0.607 Dy
0.617 0.617 0.149 Dy
0.259 0.259 0.223 Ag
0.741 0.741 0.777 Ag
0.500 0.500 0.500 Pt
0.000 0.000 0.000 Cd
```



The following is a PBE-GGA calculation of Dy4CdAg2Rh after structural relaxation, from the Alexandria database.

The value obtained for the formation energy is -0.473 eV/atom. The energy comes out at -4.520 eV per atom. The size of the total moment comes out at 0.0000 μB/atom.

Cell and atoms, written as POSCAR:
```
Dy4CdAg2Rh
1.0
-2.427 -3.656 -2.624
2.333 -2.310 -3.920
2.992 -7.704 2.985
Dy Ag Cd Rh
4 2 1 1
Direct
0.616 0.616 0.153 Dy
0.384 0.384 0.847 Dy
0.868 0.868 0.395 Dy
0.132 0.132 0.605 Dy
0.742 0.742 0.775 Ag
0.258 0.258 0.225 Ag
0.000 0.000 0.000 Cd
0.500 0.500 0.500 Rh
```



The following is a PBE-GGA calculation of DyCdAgRh after structural relaxation, from the Alexandria database.

The value obtained for the formation energy is -0.392 eV/atom. The energy comes out at -4.322 eV per atom. The size of the total moment comes out at 0.0000 μB/atom.

Cell and atoms, written as POSCAR:
```
DyCdAgRh
1.0
4.823 0.000 0.000
2.411 4.176 0.000
2.411 1.392 3.938
Cd Dy Rh Ag
1 1 1 1
Direct
0.750 0.750 0.750 Cd
0.250 0.250 0.250 Dy
0.500 0.500 0.500 Rh
0.000 0.000 0.000 Ag
```



The following is a PBE-GGA calculation of Dy4CdAgRh2 after structural relaxation, from the Alexandria database.

The value obtained for the formation energy is -0.553 eV/atom. The energy comes out at -5.163 eV per atom. The size of the total moment comes out at 0.0000 μB/atom.

Cell and atoms, written as POSCAR:
```
Dy4CdAgRh2
1.0
5.020 0.000 0.000
2.510 4.347 0.000
2.510 1.449 8.190
Dy Cd Rh Ag
4 1 2 1
Direct
0.127 0.127 0.619 Dy
0.873 0.873 0.381 Dy
0.377 0.377 0.868 Dy
0.623 0.623 0.132 Dy
0.000 0.000 0.000 Cd
0.251 0.251 0.247 Rh
0.749 0.749 0.753 Rh
0.500 0.500 0.500 Ag
```